The following is a DFT calculation (PBE) of a relaxed HgIrSO crystal.

abc: 4.1402 4.1402 9.3210
angles: 90.00 90.00 90.00
Atoms (fractional coordinates):
Hg 0.7500 0.2500 0.5000
Hg 0.2500 0.7500 0.5000
Ir 0.7500 0.7500 0.0539
Ir 0.2500 0.2500 0.9461
O 0.7500 0.2500 0.0000
O 0.2500 0.7500 0.0000
S 0.7500 0.7500 0.2917
S 0.2500 0.2500 0.7083

M_tot = 0.0 μB per cell
Total DFT energy (no corrections) = -34.71 eV per cell
Crystal system = tetragonal
Polymorph energy (0 for the lowest one) = 455 meV/atom

The following is a DFT calculation (PBE) of a relaxed NaThTlS3 crystal.

abc: 7.5498 7.5498 11.3914
angles: 90.00 90.00 147.59
Atoms (fractional coordinates):
Na 0.8965 0.1035 0.2500
Na 0.1035 0.8965 0.7500
S 0.8759 0.1241 0.0168
S 0.5287 0.4713 0.2500
S 0.8759 0.1241 0.4832
S 0.1241 0.8759 0.5168
S 0.4713 0.5287 0.7500
S 0.1241 0.8759 0.9832
Th 0.5000 0.5000 0.0000
Th 0.5000 0.5000 0.5000
Tl 0.1804 0.8196 0.2500
Tl 0.8196 0.1804 0.7500

M_tot = 0.0 μB per cell
Total DFT energy (no corrections) = -62.98 eV per cell
Crystal system = orthorhombic